Version one
Computed, not measured: an optimized crystal structure of CsSrZr at the PBE level of DFT.

Its density is 3.92 g/cm³. The spin magnetization comes out at 0.8 μB per formula unit. The value obtained for the volume is 527.6 Å³ per cell.

It has space group F-43m (No. 216), with a = 8.081 Å, b = 8.081 Å, c = 8.081 Å, α = 90.00°, β = 90.00° and γ = 90.00°. Symmetry generates all atoms from Cs at (0.000, 0.000, 0.000), Sr at (0.250, 0.250, 0.750) and Zr at (0.250, 0.250, 0.250).

Version two
Computed, not measured: an optimized crystal structure of CsSrZr at the PBE level of DFT.

Its density is 3.00 g/cm³. The spin magnetization comes out at 4.0 μB per formula unit. The value obtained for the volume is 690.1 Å³ per cell.

It has space group F-43m (No. 216), with a = 8.837 Å, b = 8.837 Å, c = 8.837 Å, α = 90.00°, β = 90.00° and γ = 90.00°. Symmetry generates all atoms from Cs at (0.000, 0.000, 0.000), Sr at (0.250, 0.250, 0.250) and Zr at (0.000, 0.000, 0.500).

Last place for stability: version one

Version one
Computed, not measured: an optimized crystal structure of CsTa2 at the PBE level of DFT.

Its density is 10.87 g/cm³. The spin magnetization comes out at 0.0 μB per formula unit. The value obtained for the volume is 605.0 Å³ per cell.

It has space group Fd-3m (No. 227, origin choice 2), with a = 8.457 Å, b = 8.457 Å, c = 8.457 Å, α = 90.00°, β = 90.00° and γ = 90.00°. Symmetry generates all atoms from Cs at (0.125, 0.125, 0.125) and Ta at (0.000, 0.000, 0.500).

Version two
Computed, not measured: an optimized crystal structure of CsTa2 at the PBE level of DFT.

Its density is 3.67 g/cm³. The spin magnetization comes out at 2.6 μB per formula unit. The value obtained for the volume is 1791.4 Å³ per cell.

It has space group Fd-3m (No. 227, origin choice 2), with a = 12.145 Å, b = 12.145 Å, c = 12.145 Å, α = 90.00°, β = 90.00° and γ = 90.00°. Symmetry generates all atoms from Cs at (0.125, 0.125, 0.125) and Ta at (0.000, 0.000, 0.000).

Last place for stability: version two